(1)
! PrPuTePt (PBE, relaxed); values from VASP
&SYSTEM
  ibrav = 0, nat = 12, ntyp = 4
/
ATOMIC_SPECIES
Pr 140.91 Pr.upf
Pu 244.00 Pu.upf
Te 127.60 Te.upf
Pt 195.08 Pt.upf
CELL_PARAMETERS angstrom
4.235 0.000 0.000
-2.118 3.668 0.000
0.000 0.000 22.475
ATOMIC_POSITIONS crystal
Pr 0.000 0.000 0.000
Pr 0.333 0.667 0.667
Pr 0.667 0.333 0.333
Pu 0.000 0.000 0.522
Pu 0.333 0.667 0.189
Pu 0.667 0.333 0.855
Te 0.000 0.000 0.762
Te 0.333 0.667 0.429
Te 0.667 0.333 0.096
Pt 0.000 0.000 0.258
Pt 0.333 0.667 0.924
Pt 0.667 0.333 0.591
! Total energy   -32.4 eV/f.u.
! Space group   No. 160
! Calculated volume   29.1 A^3/atom
! E_form (uncorrected)   -1032.2 meV per atom
! Crystal system   trigonal

***

(2)
! CdAgOs2 (PBE, relaxed); values from VASP
&SYSTEM
  ibrav = 0, nat = 8, ntyp = 3
/
ATOMIC_SPECIES
Cd 112.41 Cd.upf
Ag 107.87 Ag.upf
Os 190.23 Os.upf
CELL_PARAMETERS angstrom
9.024 0.000 0.000
0.000 2.815 0.000
-0.719 0.000 5.213
ATOMIC_POSITIONS crystal
Cd 0.000 0.000 0.000
Cd 0.500 0.500 0.000
Ag 0.246 0.000 0.783
Ag 0.746 0.500 0.783
Os 0.253 0.500 0.317
Os 0.493 0.000 0.475
Os 0.753 0.000 0.317
Os 0.993 0.500 0.475
! Total energy   -23.9 eV/f.u.
! Space group   No. 8
! Calculated volume   16.5 A^3/atom
! Crystal system   monoclinic